Entry 1:
Here is Pr2YMg2 after structural relaxation from Alexandria. Energies are from GGA-PBE.

Values from the calculation:
Its energy relative to the elements is -0.39 eV per formula unit. As for the total energy: -39.20 eV/cell. Its symmetry is P2_1/m. For the polymorph energy (0 for the lowest one), the calculation gives 0.000 eV/atom.

Unit cell a=3.864 b=5.517 c=14.399 alpha=90.00 beta=97.75 gamma=90.00
Sites, in units of the cell vectors:
Pr: 0.045 0.250 0.090
Pr: 0.235 0.250 0.473
Pr: 0.765 0.750 0.527
Pr: 0.955 0.750 0.910
Y: 0.149 0.750 0.297
Y: 0.851 0.250 0.703
Mg: 0.360 0.750 0.720
Mg: 0.445 0.250 0.891
Mg: 0.555 0.750 0.109
Mg: 0.640 0.250 0.280



Entry 2:
Here is YMo2P after structural relaxation from Alexandria. Energies are from GGA-PBE.

Values from the calculation:
Its energy relative to the elements is 0.01 eV per formula unit. As for the total energy: -33.53 eV/cell. Its symmetry is P4/mmm.

Unit cell a=3.327 b=3.327 c=6.473 alpha=90.00 beta=90.00 gamma=90.00
Sites, in units of the cell vectors:
Y: 0.000 0.000 0.000
Mo: 0.500 0.500 0.313
Mo: 0.500 0.500 0.687
P: 0.000 0.000 0.500



Entry 3:
Here is Tc2BiMoRu after structural relaxation from Alexandria. Energies are from GGA-PBE.

Values from the calculation:
Its energy relative to the elements is 7.22 eV per formula unit. As for the total energy: -37.50 eV/cell. Its symmetry is P4/mmm.

Unit cell a=4.724 b=4.724 c=4.736 alpha=90.00 beta=90.00 gamma=90.00
Sites, in units of the cell vectors:
Tc: 0.000 0.500 0.000
Tc: 0.500 0.000 0.000
Bi: 0.000 0.000 0.500
Mo: 0.500 0.500 0.000
Ru: 0.500 0.500 0.500



Entry 4:
Here is CePaIrPd after structural relaxation from Alexandria. Energies are from GGA-PBE.

Values from the calculation:
Its energy relative to the elements is -2.26 eV per formula unit. As for the total energy: -31.75 eV/cell. Its symmetry is F-43m. For the polymorph energy (0 for the lowest one), the calculation gives 0.164 eV/atom.

Unit cell a=4.945 b=4.945 c=4.945 alpha=60.00 beta=60.00 gamma=60.00
Sites, in units of the cell vectors:
Ce: 0.000 0.000 0.000
Pa: 0.500 0.500 0.500
Ir: 0.250 0.250 0.250
Pd: 0.750 0.750 0.750



Entry 5:
Here is KLaMg6O8 after structural relaxation from Alexandria. Energies are from GGA-PBE.

Values from the calculation:
As for the total energy: -91.61 eV/cell. Its symmetry is P4/mmm. Its uncorrected formation energy is -2.272 eV per atom. For the polymorph energy (0 for the lowest one), the calculation gives 0.113 eV/atom.

Unit cell a=4.626 b=4.626 c=9.307 alpha=90.00 beta=90.00 gamma=90.00
Sites, in units of the cell vectors:
K: 0.000 0.000 0.000
La: 0.000 0.000 0.500
Mg: 0.000 0.500 0.223
Mg: 0.000 0.500 0.777
Mg: 0.500 0.000 0.223
Mg: 0.500 0.000 0.777
Mg: 0.500 0.500 0.000
Mg: 0.500 0.500 0.500
O: 0.000 0.000 0.254
O: 0.000 0.000 0.746
O: 0.000 0.500 0.000
O: 0.000 0.500 0.500
O: 0.500 0.000 0.000
O: 0.500 0.000 0.500
O: 0.500 0.500 0.247
O: 0.500 0.500 0.753



Entry 6:
Here is Nd4Sm6Th after structural relaxation from Alexandria. Energies are from GGA-PBE.

Values from the calculation:
Its energy relative to the elements is 1.48 eV per formula unit. As for the total energy: -106.65 eV/cell. Its symmetry is Cmcm.

Unit cell a=5.701 b=5.701 c=26.048 alpha=90.00 beta=90.00 gamma=117.12
Sites, in units of the cell vectors:
Nd: 0.053 0.947 0.623
Nd: 0.053 0.947 0.877
Nd: 0.352 0.648 0.544
Nd: 0.352 0.648 0.956
Nd: 0.648 0.352 0.044
Nd: 0.648 0.352 0.456
Nd: 0.947 0.053 0.123
Nd: 0.947 0.053 0.377
Sm: 0.000 0.000 0.000
Sm: 0.000 0.000 0.500
Sm: 0.059 0.941 0.750
Sm: 0.296 0.704 0.103
Sm: 0.296 0.704 0.397
Sm: 0.386 0.614 0.683
Sm: 0.386 0.614 0.817
Sm: 0.614 0.386 0.183
Sm: 0.614 0.386 0.317
Sm: 0.704 0.296 0.603
Sm: 0.704 0.296 0.897
Sm: 0.941 0.059 0.250
Th: 0.281 0.719 0.250
Th: 0.719 0.281 0.750



Entry 7:
Here is PmMn2Br8 after structural relaxation from Alexandria. Energies are from GGA-PBE.

Values from the calculation:
As for the total energy: -47.51 eV/cell. Its symmetry is C2/m. Its uncorrected formation energy is -1.004 eV per atom. For the polymorph energy (0 for the lowest one), the calculation gives 0.060 eV/atom.

Unit cell a=10.454 b=10.454 c=10.322 alpha=93.21 beta=93.21 gamma=20.33
Sites, in units of the cell vectors:
Pm: 0.000 0.000 0.000
Mn: 0.333 0.333 0.298
Mn: 0.667 0.667 0.702
Br: 0.101 0.101 0.575
Br: 0.132 0.132 0.913
Br: 0.256 0.256 0.705
Br: 0.460 0.460 0.802
Br: 0.540 0.540 0.198
Br: 0.744 0.744 0.295
Br: 0.868 0.868 0.087
Br: 0.899 0.899 0.425



Entry 8:
Here is SrLa3Os after structural relaxation from Alexandria. Energies are from GGA-PBE.

Values from the calculation:
Its energy relative to the elements is -0.11 eV per formula unit. As for the total energy: -55.62 eV/cell. Its symmetry is P2_1/m. For the polymorph energy (0 for the lowest one), the calculation gives 0.061 eV/atom.

Unit cell a=6.765 b=7.283 c=7.329 alpha=90.00 beta=92.13 gamma=90.00
Sites, in units of the cell vectors:
Sr: 0.099 0.250 0.386
Sr: 0.901 0.750 0.614
La: 0.106 0.750 0.120
La: 0.419 0.000 0.742
La: 0.419 0.500 0.742
La: 0.581 0.000 0.258
La: 0.581 0.500 0.258
La: 0.894 0.250 0.880
Os: 0.331 0.750 0.436
Os: 0.669 0.250 0.564